Density functional theory data (GGA+U) for a relaxed LaMnO3 crystal.

Output
Final energy, eV per cell: -36.6

a = 4.8982 Å, b = 4.8982 Å, c = 4.8982 Å
α = 83.48°, β = 83.48°, γ = 83.48°
Last column: nearest neighbours and their distance in Å.
Fractional positions:
La 0.0000 0.0000 0.0000  3 O 2.29
Mn 0.7035 0.7035 0.7035  3 O 1.76
O 0.4696 0.9108 0.9108  1 Mn 1.76
O 0.9108 0.4696 0.9108  1 Mn 1.76
O 0.9108 0.9108 0.4696  1 Mn 1.76